# 1
{"formula": "CrTc2", "functional": "GGA-PBEsol", "state": "relaxed", "lattice_angstrom": [[-1.477, 1.477, 4.517], [1.477, -1.477, 4.517], [1.477, 1.477, -4.517]], "species": ["Cr", "Tc", "Tc"], "frac_coords": [[0.000, 0.000, 0.000], [0.342, 0.342, 0.000], [0.658, 0.658, 0.000]], "density_g_cm3": 10.45, "crystal_system": "tetragonal", "total_energy_ev_per_cell": -32.411}


# 2
{"formula": "CrTcTe2", "functional": "GGA-PBEsol", "state": "relaxed", "lattice_angstrom": [[3.584, 0.000, 0.000], [0.000, 4.202, 0.000], [-0.491, 0.000, 5.352]], "species": ["Cr", "Tc", "Te", "Te"], "frac_coords": [[0.000, 0.000, 0.000], [0.500, 0.000, 0.500], [0.291, 0.500, 0.752], [0.709, 0.500, 0.248]], "formation_energy_uncorrected_ev_per_atom": 0.701, "density_g_cm3": 8.35, "crystal_system": "monoclinic", "total_energy_ev_per_cell": -25.756}


# 3
{"formula": "CrTcTe2", "functional": "GGA-PBEsol", "state": "relaxed", "lattice_angstrom": [[3.216, 0.000, 0.000], [0.000, 3.216, 0.000], [0.000, 0.000, 6.442]], "species": ["Cr", "Tc", "Te", "Te"], "frac_coords": [[0.000, 0.000, 0.000], [0.000, 0.000, 0.500], [0.500, 0.500, 0.243], [0.500, 0.500, 0.757]], "formation_energy_uncorrected_ev_per_atom": 0.366, "density_g_cm3": 10.10, "crystal_system": "tetragonal", "total_energy_ev_per_cell": -27.095}